VASP calculation (GGA-PBE) on a relaxed PmYMg crystal.

Lattice parameters (Å, degrees): 5.496 5.496 3.449 90.00 90.00 120.00
Atoms (fractional coordinates):
1 Pm 0.000 0.000 0.000
2 Y 0.667 0.333 0.431
3 Mg 0.333 0.667 0.707

## Properties
Energy relative to the elements = 0.04 eV/atom
Density of states at the Fermi level = 4.01 states/eV/cell
Total DFT energy (no corrections) = -12.70 eV/f.u.
Energy above the lowest structure with this stoichiometry = 0.0891 eV/atom

VASP calculation (GGA-PBE) on a relaxed Pm12Y2Mg crystal.

Lattice parameters (Å, degrees): 6.633 6.633 24.248 90.00 90.00 90.00
Atoms (fractional coordinates):
1 Pm 0.015 0.515 0.100
2 Pm 0.015 0.985 0.900
3 Pm 0.083 0.583 0.564
4 Pm 0.083 0.917 0.436
5 Pm 0.250 0.250 0.203
6 Pm 0.250 0.250 0.329
7 Pm 0.250 0.250 0.671
8 Pm 0.250 0.250 0.797
9 Pm 0.417 0.583 0.436
10 Pm 0.417 0.917 0.564
11 Pm 0.485 0.515 0.900
12 Pm 0.485 0.985 0.100
13 Pm 0.515 0.015 0.900
14 Pm 0.515 0.485 0.100
15 Pm 0.583 0.083 0.436
16 Pm 0.583 0.417 0.564
17 Pm 0.750 0.750 0.203
18 Pm 0.750 0.750 0.329
19 Pm 0.750 0.750 0.671
20 Pm 0.750 0.750 0.797
21 Pm 0.917 0.083 0.564
22 Pm 0.917 0.417 0.436
23 Pm 0.985 0.015 0.100
24 Pm 0.985 0.485 0.900
25 Y 0.250 0.750 0.248
26 Y 0.250 0.750 0.752
27 Y 0.750 0.250 0.248
28 Y 0.750 0.250 0.752
29 Mg 0.250 0.750 0.000
30 Mg 0.750 0.250 0.000

## Properties
Energy relative to the elements = 0.30 eV/atom
Density of states at the Fermi level = 35.04 states/eV/cell
Total DFT energy (no corrections) = -67.05 eV/f.u.

VASP calculation (GGA-PBE) on a relaxed PmYMg2 crystal.

Lattice parameters (Å, degrees): 5.403 5.403 3.852 90.00 90.00 90.00
Atoms (fractional coordinates):
1 Pm 0.000 0.000 0.000
2 Y 0.500 0.500 0.000
3 Mg 0.000 0.500 0.500
4 Mg 0.500 0.000 0.500

## Properties
Energy relative to the elements = -0.11 eV/atom
Density of states at the Fermi level = 4.37 states/eV/cell
Total DFT energy (no corrections) = -14.84 eV/f.u.
Energy above the lowest structure with this stoichiometry = 0.0056 eV/atom

VASP calculation (GGA-PBE) on a relaxed PmYMg2 crystal.

Lattice parameters (Å, degrees): 11.074 11.074 11.074 18.33 18.33 18.33
Atoms (fractional coordinates):
1 Pm 0.000 0.000 0.000
2 Y 0.500 0.500 0.500
3 Mg 0.249 0.249 0.249
4 Mg 0.751 0.751 0.751

## Properties
Energy relative to the elements = 0.03 eV/atom
Density of states at the Fermi level = 4.57 states/eV/cell
Total DFT energy (no corrections) = -14.28 eV/f.u.
Energy above the lowest structure with this stoichiometry = 0.1461 eV/atom

VASP calculation (GGA-PBE) on a relaxed Pm4Y8Mg crystal.

Lattice parameters (Å, degrees): 9.793 9.793 9.793 45.46 45.46 45.46
Atoms (fractional coordinates):
1 Pm 0.000 0.000 0.000
2 Pm 0.000 0.500 0.500
3 Pm 0.500 0.000 0.500
4 Pm 0.500 0.500 0.000
5 Y 0.190 0.745 0.745
6 Y 0.219 0.219 0.219
7 Y 0.255 0.255 0.810
8 Y 0.255 0.810 0.255
9 Y 0.745 0.190 0.745
10 Y 0.745 0.745 0.190
11 Y 0.781 0.781 0.781
12 Y 0.810 0.255 0.255
13 Mg 0.500 0.500 0.500

## Properties
Energy relative to the elements = 0.16 eV/atom
Density of states at the Fermi level = 18.30 states/eV/cell
Total DFT energy (no corrections) = -70.17 eV/f.u.

VASP calculation (GGA-PBE) on a relaxed Pm6Y2Mg crystal.

Lattice parameters (Å, degrees): 10.763 10.763 5.103 90.00 90.00 90.00
Atoms (fractional coordinates):
1 Pm 0.001 0.333 0.000
2 Pm 0.166 0.166 0.500
3 Pm 0.167 0.501 0.500
4 Pm 0.333 0.001 0.000
5 Pm 0.334 0.666 0.000
6 Pm 0.499 0.833 0.500
7 Pm 0.501 0.167 0.500
8 Pm 0.666 0.334 0.000
9 Pm 0.667 0.999 0.000
10 Pm 0.833 0.499 0.500
11 Pm 0.834 0.834 0.500
12 Pm 0.999 0.667 0.000
13 Y 0.165 0.835 0.500
14 Y 0.335 0.335 0.000
15 Y 0.665 0.665 0.000
16 Y 0.835 0.165 0.500
17 Mg 0.000 0.000 0.000
18 Mg 0.500 0.500 0.500

## Properties
Energy relative to the elements = 0.02 eV/atom
Density of states at the Fermi level = 27.41 states/eV/cell
Total DFT energy (no corrections) = -42.84 eV/f.u.
Energy above the lowest structure with this stoichiometry = 0.0000 eV/atom